PaMnNiO6 after structural relaxation. Source: the Alexandria database, functional PBE+U.

abc: 5.0182 5.0182 4.7985
angles: 90.00 90.00 120.00
With the nearest neighbours (Å) after each atom.
Space group P312 (No. 149)
Unique sites:
Pa 0.0000 0.0000 0.0000  6 O 2.19
Mn 0.6667 0.3333 0.5000  6 O 1.92
Ni 0.3333 0.6667 0.5000  6 O 2.00
O 0.3550 0.0115 0.7257  1 Mn 1.92, 1 Ni 2.00

Summary:
Energy ... -7.480 eV per atom